Here is La12Dy7Th after structural relaxation from Alexandria via LeMat-Bulk. Energies are from PBE-GGA.

a = 8.860 Å, b = 8.860 Å, c = 8.860 Å
α = 90.13°, β = 90.13°, γ = 90.13°
Fractional positions:
La  0.614  0.145  0.485
La  0.145  0.485  0.614
La  0.855  0.515  0.386
La  0.862  0.267  0.721
La  0.485  0.614  0.145
La  0.267  0.721  0.862
La  0.515  0.386  0.855
La  0.721  0.862  0.267
La  0.386  0.855  0.515
La  0.138  0.733  0.279
La  0.733  0.279  0.138
La  0.279  0.138  0.733
Th  0.000  0.000  0.000
Dy  0.143  0.373  0.059
Dy  0.941  0.857  0.627
Dy  0.627  0.941  0.857
Dy  0.500  0.500  0.500
Dy  0.857  0.627  0.941
Dy  0.059  0.143  0.373
Dy  0.373  0.059  0.143

Computed properties:
Energy relative to the lowest polymorph listed for this composition = 0 meV/atom
N(E_F) = 1.816 states/eV per atom
Energy of formation from the pure elements = 0.188 eV/atom
V = 695.4 Å³ per cell
Size of the total moment = 0.00 μB per cell